Computed, not measured: a relaxed structure of CrNiHg2Os at the PBE-GGA level of DFT.

a b c (Å): 5.2218 5.2218 4.5014
angles (deg): 90.00 90.00 90.00
Fractional positions:
Cr 0.0000 0.0000 0.0000
Ni 0.5000 0.5000 0.0000
Hg 0.0000 0.5000 0.5000
Hg 0.5000 0.0000 0.5000
Os 0.0000 0.0000 0.5000

Output
Calculated volume   24.5 Å³/atom
Calculated total energy   -4.033 eV per atom
ρ   9.499 g cm⁻³